Entry 1:
Here is a relaxed BaBiAsBr2 crystal from the Alexandria database. Energies are from PBE. Values from VASP.

Summary:
crystal system	tetragonal
density of states at the Fermi level	1.400	states/eV per atom
energy relative to the lowest polymorph listed for this composition	54.7	kJ per mole of atoms
volume	234	Å³/f.u.
space-group type	P4/mmm, No. 123
spin magnetization	1.097	μB/cell

The structure in Quantum ESPRESSO input format:
```
&SYSTEM
  ibrav = 0, nat = 5, ntyp = 4
/
ATOMIC_SPECIES
As 74.92 As.upf
Bi 208.98 Bi.upf
Br 79.90 Br.upf
Ba 137.33 Ba.upf
ATOMIC_POSITIONS angstrom
As 1.676 2.813 0.264
Bi -1.102 4.199 3.126
Br -0.219 -0.149 2.974
Br -2.559 1.535 -0.112
Ba 0.000 0.000 0.000
CELL_PARAMETERS angstrom
-5.117 3.070 -0.224
-0.439 -0.297 5.948
3.352 5.626 0.529
```

Entry 2:
Here is a relaxed Ta3IrSe crystal from the Alexandria database. Energies are from PBE. Values from VASP.

Summary:
crystal system	cubic
density of states at the Fermi level	1.025	states/eV per atom
energy relative to the lowest polymorph listed for this composition	1.5	kJ per mole of atoms
volume	116	Å³/f.u.
space-group type	Pm-3m, No. 221
spin magnetization	0.000	μB/cell

The structure in Quantum ESPRESSO input format:
```
&SYSTEM
  ibrav = 0, nat = 5, ntyp = 3
/
ATOMIC_SPECIES
Ir 192.22 Ir.upf
Se 78.96 Se.upf
Ta 180.95 Ta.upf
ATOMIC_POSITIONS angstrom
Ir 0.000 0.000 0.000
Se 2.439 2.439 2.439
Ta 0.000 2.439 0.000
Ta 0.000 0.000 2.439
Ta 2.439 0.000 0.000
CELL_PARAMETERS angstrom
4.878 0.000 0.000
0.000 4.878 0.000
0.000 0.000 4.878
```